DFT (GGA-PBE) results for a geometry-optimized Tl2SbBr structure.

Cell: 5.8908 8.6065 3.5926 Å, 73.28 84.56 130.00°
With the nearest neighbours (Å) after each atom.
Atoms (fractional coordinates):
Sb  0.5000  0.0000  0.5000  8 Tl 3.30-3.59, 2 Sb 3.59
Tl  0.0000  0.0000  0.0000  4 Br 3.30-3.59, 4 Sb 3.30-3.59, 2 Tl 3.59
Tl  0.0000  0.5000  0.5000  4 Sb 3.30-3.59, 4 Br 3.30-3.59, 2 Tl 3.59
Br  0.5000  0.5000  0.0000  8 Tl 3.30-3.59, 2 Br 3.59

Summary:
The calculation puts the energy relative to the lowest polymorph listed for this composition at 0.0303 eV per atom. The value obtained for the uncorrected formation energy is -0.239 eV per atom. The total energy comes out at -11.49 eV/f.u. For the density, the calculation gives 8.2 Mg/m³.



DFT (GGA-PBE) results for a geometry-optimized K3BaCa structure.

Cell: 7.6326 7.6326 7.6326 Å, 90.00 90.00 90.00°
With the nearest neighbours (Å) after each atom.
Atoms (fractional coordinates):
K  0.0000  0.5000  0.0000  2 Ba 3.82
K  0.0000  0.0000  0.5000  2 Ba 3.82
K  0.5000  0.0000  0.0000  2 Ba 3.82
Ca  0.5000  0.5000  0.5000  12 K 5.40
Ba  0.0000  0.0000  0.0000  6 K 3.82

Summary:
The calculation puts the energy relative to the lowest polymorph listed for this composition at 0.2338 eV per atom. The total energy comes out at -3.85 eV/f.u. Its formation energy from the elements is 0.674 eV per atom. For the density, the calculation gives 1.1 Mg/m³.



DFT (GGA-PBE) results for a geometry-optimized SmGa8Co2 structure.

Cell: 5.6528 5.6528 7.4909 Å, 90.00 90.00 90.00°
With the nearest neighbours (Å) after each atom.
Atoms (fractional coordinates):
Sm  0.5000  0.5000  0.5000  8 Ga 3.10
Ga  0.7539  0.7539  0.1868  2 Co 2.44
Ga  0.7539  0.2461  0.8132  2 Co 2.44
Ga  0.7539  0.7539  0.8132  2 Co 2.44
Ga  0.7539  0.2461  0.1868  2 Co 2.44
Ga  0.2461  0.7539  0.1868  2 Co 2.44
Ga  0.2461  0.7539  0.8132  2 Co 2.44
Ga  0.2461  0.2461  0.1868  2 Co 2.44
Ga  0.2461  0.2461  0.8132  2 Co 2.44
Co  0.5000  0.0000  0.0000  8 Ga 2.44
Co  0.0000  0.5000  0.0000  8 Ga 2.44

Summary:
The total energy comes out at -42.97 eV/f.u. Its formation energy from the elements is 0.016 eV per atom. For the density, the calculation gives 5.7 Mg/m³.



DFT (GGA-PBE) results for a geometry-optimized NdDy2TmAg4 structure.

Cell: 5.1611 5.1611 8.9924 Å, 73.32 73.32 60.00°
With the nearest neighbours (Å) after each atom.
Atoms (fractional coordinates):
Nd  0.0000  0.0000  0.0000  8 Ag 3.20-3.24
Dy  0.7514  0.7514  0.7457  8 Ag 3.09-3.33
Dy  0.2486  0.2486  0.2543  8 Ag 3.09-3.33
Tm  0.5000  0.5000  0.5000  8 Ag 3.07-3.14
Ag  0.3792  0.3792  0.8623  1 Tm 3.07, 4 Dy 3.14-3.33, 3 Nd 3.20
Ag  0.8727  0.8727  0.3820  4 Dy 3.09-3.17, 3 Tm 3.14, 1 Nd 3.24
Ag  0.1273  0.1273  0.6180  4 Dy 3.09-3.17, 3 Tm 3.14, 1 Nd 3.24
Ag  0.6208  0.6208  0.1377  1 Tm 3.07, 4 Dy 3.14-3.33, 3 Nd 3.20

Summary:
The total energy comes out at -32.27 eV/f.u. Its formation energy from the elements is -0.303 eV per atom. For the density, the calculation gives 9.1 Mg/m³.



DFT (GGA-PBE) results for a geometry-optimized Nd3Mg5Al2 structure.

Cell: 6.3017 9.7454 9.7454 Å, 86.10 71.14 71.14°
With the nearest neighbours (Å) after each atom.
Atoms (fractional coordinates):
Nd  0.2500  0.0000  0.0000  4 Al 3.12, 2 Nd 3.15, 2 Mg 3.25
Nd  0.7500  0.0000  0.0000  4 Al 3.12, 2 Nd 3.15, 2 Mg 3.25
Nd  0.3712  0.3697  0.8878  4 Al 3.28-3.65, 4 Mg 3.45-3.47
Nd  0.6288  0.6303  0.1122  4 Al 3.28-3.65, 4 Mg 3.45-3.47
Nd  0.8712  0.8878  0.3697  4 Al 3.28-3.65, 4 Mg 3.45-3.47
Nd  0.1288  0.1122  0.6303  4 Al 3.28-3.65, 4 Mg 3.45-3.47
Mg  0.2500  0.5000  0.5000  8 Mg 2.95-3.15
Mg  0.7500  0.5000  0.5000  8 Mg 2.95-3.15
Mg  0.5046  0.7454  0.7454  2 Al 2.93, 5 Mg 3.03-3.15, 1 Nd 3.25
Mg  0.9954  0.2546  0.2546  2 Al 2.93, 5 Mg 3.03-3.15, 1 Nd 3.25
Mg  0.4954  0.2546  0.2546  2 Al 2.93, 5 Mg 3.03-3.15, 1 Nd 3.25
Mg  0.0046  0.7454  0.7454  2 Al 2.93, 5 Mg 3.03-3.15, 1 Nd 3.25
Mg  0.1167  0.5340  0.2327  1 Al 2.67, 2 Mg 2.95
Mg  0.8833  0.4660  0.7673  1 Al 2.67, 2 Mg 2.95
Mg  0.6167  0.2327  0.5340  1 Al 2.67, 2 Mg 2.95
Mg  0.3833  0.7673  0.4660  1 Al 2.67, 2 Mg 2.95
Al  0.1409  0.7089  0.0094  3 Mg 2.67-2.93
Al  0.8591  0.2911  0.9906  3 Mg 2.67-2.93
Al  0.6409  0.0094  0.7089  3 Mg 2.67-2.93
Al  0.3591  0.9906  0.2911  3 Mg 2.67-2.93

Summary:
The total energy comes out at -30.35 eV/f.u. Its formation energy from the elements is -0.059 eV per atom. For the density, the calculation gives 3.8 Mg/m³.



DFT (GGA-PBE) results for a geometry-optimized Ce2PuGe3Ir4 structure.

Cell: 4.2076 4.2076 11.0956 Å, 90.00 90.00 90.00°
With the nearest neighbours (Å) after each atom.
Atoms (fractional coordinates):
Ce  0.5000  0.0000  0.2332  4 Ge 3.22, 8 Ir 3.22-3.33
Ce  0.0000  0.5000  0.7668  4 Ge 3.22, 8 Ir 3.22-3.33
Pu  0.5000  0.5000  0.5000  4 Ir 2.72, 4 Ge 2.98
Ge  0.0000  0.0000  0.5000  4 Ir 2.72, 4 Pu 2.98
Ge  0.5000  0.0000  0.8773  5 Ir 2.46-2.51
Ge  0.0000  0.5000  0.1227  5 Ir 2.46-2.51
Ir  0.5000  0.5000  0.0000  4 Ge 2.51
Ir  0.0000  0.0000  0.0000  4 Ge 2.51
Ir  0.5000  0.0000  0.6557  3 Ge 2.46-2.72, 2 Pu 2.72
Ir  0.0000  0.5000  0.3443  3 Ge 2.46-2.72, 2 Pu 2.72

Summary:
The total energy comes out at -82.60 eV/f.u. Its formation energy from the elements is -0.710 eV per atom. For the density, the calculation gives 12.8 Mg/m³.



DFT (GGA-PBE) results for a geometry-optimized BeAsAu structure.

Cell: 4.2970 3.8120 7.8429 Å, 90.04 98.07 116.34°
With the nearest neighbours (Å) after each atom.
Atoms (fractional coordinates):
Be  0.3514  0.1471  0.4748  2 As 2.25, 2 Au 2.38-2.41
Be  0.3432  0.6392  0.2086  3 Au 2.37-2.41, 3 As 2.38-2.43
As  0.4906  0.2131  0.0408  2 Be 2.43, 2 Au 2.48-2.58
As  0.6641  0.8037  0.4937  3 Be 2.25-2.38, 1 Au 2.50
Au  0.9572  0.9464  0.2039  4 Be 2.37-2.41, 1 As 2.58
Au  0.1475  0.0429  0.7461  1 Be 2.38, 2 As 2.48-2.50

Summary:
The total energy comes out at -11.68 eV/f.u. Its formation energy from the elements is -0.010 eV per atom. For the density, the calculation gives 8.2 Mg/m³.



DFT (GGA-PBE) results for a geometry-optimized LaCeSmSe3 structure.

Cell: 4.1733 8.2040 10.5325 Å, 103.47 90.00 90.00°
With the nearest neighbours (Å) after each atom.
Atoms (fractional coordinates):
La  0.7500  0.8152  0.7956  7 Se 3.07-3.22
La  0.2500  0.1848  0.2044  7 Se 3.07-3.22
Ce  0.2500  0.1737  0.6179  5 Se 2.94-3.17
Ce  0.7500  0.8263  0.3821  5 Se 2.94-3.17
Sm  0.2500  0.6606  0.0984  5 Se 2.90-2.98
Sm  0.7500  0.3394  0.9016  5 Se 2.90-2.98
Se  0.2500  0.7954  0.5711  3 Ce 2.94-3.03, 2 La 3.13
Se  0.7500  0.9091  0.1103  2 Sm 2.90, 3 La 3.07-3.22, 1 Ce 3.09
Se  0.7500  0.4649  0.1905  3 Sm 2.93-2.98, 2 La 3.13, 1 Ce 3.17
Se  0.7500  0.2046  0.4289  3 Ce 2.94-3.03, 2 La 3.13
Se  0.2500  0.5351  0.8095  3 Sm 2.93-2.98, 2 La 3.13, 1 Ce 3.17
Se  0.2500  0.0909  0.8897  2 Sm 2.90, 3 La 3.07-3.22, 1 Ce 3.09

Summary:
The value obtained for the uncorrected formation energy is -1.662 eV per atom. The total energy comes out at -36.00 eV/f.u. For the density, the calculation gives 6.3 Mg/m³.



DFT (GGA-PBE) results for a geometry-optimized Rb2Np2RuS6 structure.

Cell: 6.4632 6.4632 8.3338 Å, 97.90 97.90 119.12°
With the nearest neighbours (Å) after each atom.
Atoms (fractional coordinates):
Rb  0.8280  0.1720  0.0000  6 S 3.30-3.38
Rb  0.1720  0.8280  0.0000  6 S 3.30-3.38
Np  0.3325  0.6675  0.5000  6 S 2.69-2.70
Np  0.6675  0.3325  0.5000  6 S 2.69-2.70
Ru  0.0000  0.0000  0.5000  6 S 2.49
S  0.7564  0.7564  0.6833  1 Ru 2.49, 2 Np 2.69
S  0.0668  0.3742  0.6847  1 Ru 2.49, 2 Np 2.69-2.70
S  0.2436  0.2436  0.3167  1 Ru 2.49, 2 Np 2.69
S  0.3742  0.0668  0.6847  1 Ru 2.49, 2 Np 2.69-2.70
S  0.9332  0.6258  0.3153  1 Ru 2.49, 2 Np 2.69-2.70
S  0.6258  0.9332  0.3153  1 Ru 2.49, 2 Np 2.69-2.70

Summary:
The value obtained for the uncorrected formation energy is -1.102 eV per atom. The total energy comes out at -73.98 eV/f.u. For the density, the calculation gives 5.3 Mg/m³.



DFT (GGA-PBE) results for a geometry-optimized UCo4B4 structure.

Cell: 5.0008 5.0008 6.9746 Å, 90.00 90.00 90.00°
With the nearest neighbours (Å) after each atom.
Atoms (fractional coordinates):
U  0.0000  0.0000  0.0000  12 Co 2.81-2.96, 12 B 2.86-2.91
U  0.5000  0.5000  0.5000  12 Co 2.81-2.96, 12 B 2.86-2.91
Co  0.2465  0.5000  0.8589  5 B 2.07-2.10
Co  0.7535  0.5000  0.8589  5 B 2.07-2.10
Co  0.5000  0.7535  0.1411  5 B 2.07-2.10
Co  0.5000  0.2465  0.1411  5 B 2.07-2.10
Co  0.0000  0.7465  0.3589  5 B 2.07-2.10
Co  0.0000  0.2535  0.3589  5 B 2.07-2.10
Co  0.2535  0.0000  0.6411  5 B 2.07-2.10
Co  0.7465  0.0000  0.6411  5 B 2.07-2.10
B  0.5000  0.8260  0.8449  1 B 1.74
B  0.5000  0.1740  0.8449  1 B 1.74
B  0.8260  0.5000  0.1551  1 B 1.74
B  0.1740  0.5000  0.1551  1 B 1.74
B  0.3260  0.0000  0.3449  1 B 1.74
B  0.6740  0.0000  0.3449  1 B 1.74
B  0.0000  0.3260  0.6551  1 B 1.74
B  0.0000  0.6740  0.6551  1 B 1.74

Summary:
The total energy comes out at -70.15 eV/f.u. Its formation energy from the elements is -0.414 eV per atom. For the density, the calculation gives 9.8 Mg/m³.



DFT (GGA-PBE) results for a geometry-optimized K2TeMo structure.

Cell: 5.7732 5.7732 5.7732 Å, 60.00 60.00 60.00°
With the nearest neighbours (Å) after each atom.
Atoms (fractional coordinates):
K  0.0000  0.0000  0.0000  4 K 3.54, 4 Te 3.54
K  0.2500  0.2500  0.2500  4 Mo 3.54, 4 K 3.54
Mo  0.5000  0.5000  0.5000  4 Te 3.54, 4 K 3.54
Te  0.7500  0.7500  0.7500  4 Mo 3.54, 4 K 3.54

Summary:
The value obtained for the uncorrected formation energy is 0.626 eV per atom. The total energy comes out at -13.66 eV/f.u. For the density, the calculation gives 3.7 Mg/m³.



DFT (GGA-PBE) results for a geometry-optimized LiMgNiPd structure.

Cell: 4.2871 4.2871 4.2871 Å, 60.00 60.00 60.00°
With the nearest neighbours (Å) after each atom.
Atoms (fractional coordinates):
Ni  0.0000  0.0000  0.0000  4 Li 2.63, 4 Mg 2.63
Mg  0.2500  0.2500  0.2500  4 Ni 2.63, 4 Pd 2.63
Pd  0.5000  0.5000  0.5000  4 Mg 2.63, 4 Li 2.63
Li  0.7500  0.7500  0.7500  4 Ni 2.63, 4 Pd 2.63

Summary:
The total energy comes out at -15.68 eV/f.u. Its formation energy from the elements is -0.298 eV per atom. For the density, the calculation gives 5.9 Mg/m³.